Entry from Alexandria via LeMat-Bulk: a relaxed structure of K2Mn2O3 (PBE with a Hubbard U). Values from VASP.

Calculated values
Electronic total energy: -42.08 eV/cell
Calculated volume: 18.01 A^3/atom
M_tot: 10.00 μB/cell
D(E_F): 0.01 states/eV per atom

```
&SYSTEM
  ibrav = 0, nat = 7, ntyp = 3
/
ATOMIC_SPECIES
K 39.10 K.upf
Mn 54.94 Mn.upf
O 16.00 O.upf
CELL_PARAMETERS angstrom
5.905 -1.842 0.000
5.905 1.842 0.000
-1.920 0.000 5.796
ATOMIC_POSITIONS crystal
K 0.115 0.115 0.319
K 0.885 0.885 0.681
Mn 0.352 0.352 0.100
Mn 0.648 0.648 0.900
O 0.196 0.196 0.787
O 0.500 0.500 0.000
O 0.804 0.804 0.213
```